[1]
{"formula": "BPbSeN2", "functional": "PBE", "state": "optimized geometry", "total_energy_ev_per_atom": -4.568, "magmom_total_mub_per_cell": 2.05, "dos_ef_per_ev_cell": 2.2, "e_above_lowest_polymorph_ev_per_atom": 0.000, "lattice_angstrom": [[3.857, 0.000, 0.000], [0.000, 3.857, 0.000], [0.000, 0.000, 4.595]], "species": ["B", "Pb", "Se", "N", "N"], "fractional_positions": [[0.000, 0.000, 0.000], [0.500, 0.500, 0.500], [0.000, 0.000, 0.500], [0.000, 0.500, 0.000], [0.500, 0.000, 0.000]]}

=====

[2]
{"formula": "Ba3Sr3TlHg2", "functional": "PBE", "state": "optimized geometry", "total_energy_ev_per_atom": -1.863, "formation_energy_mev_per_atom": -332, "magmom_total_mub_per_cell": 0.00, "dos_ef_per_ev_cell": 13.0, "lattice_angstrom": [[8.835, 0.000, 0.000], [-4.417, 7.651, 0.000], [0.000, 0.000, 5.661]], "species": ["Ba", "Ba", "Ba", "Sr", "Sr", "Sr", "Tl", "Hg", "Hg"], "fractional_positions": [[0.000, 0.411, 0.000], [0.411, 0.000, 0.000], [0.589, 0.589, 0.000], [0.000, 0.743, 0.500], [0.257, 0.257, 0.500], [0.743, 0.000, 0.500], [0.000, 0.000, 0.000], [0.333, 0.667, 0.500], [0.667, 0.333, 0.500]]}

=====

[3]
{"formula": "CaH2Pb", "functional": "PBE", "state": "optimized geometry", "total_energy_ev_per_atom": -3.137, "magmom_total_mub_per_cell": 0.00, "dos_ef_per_ev_cell": 5.9, "e_above_lowest_polymorph_ev_per_atom": 0.213, "lattice_angstrom": [[5.301, 0.000, 0.000], [0.000, 5.301, 0.000], [0.000, 0.000, 10.826]], "species": ["Ca", "Ca", "Ca", "Ca", "H", "H", "H", "H", "H", "H", "H", "H", "Pb", "Pb", "Pb", "Pb"], "fractional_positions": [[0.000, 0.000, 0.000], [0.000, 0.500, 0.250], [0.500, 0.000, 0.750], [0.500, 0.500, 0.500], [0.188, 0.250, 0.125], [0.250, 0.688, 0.375], [0.250, 0.812, 0.875], [0.312, 0.250, 0.625], [0.688, 0.750, 0.625], [0.750, 0.188, 0.875], [0.750, 0.312, 0.375], [0.812, 0.750, 0.125], [0.000, 0.000, 0.500], [0.000, 0.500, 0.750], [0.500, 0.000, 0.250], [0.500, 0.500, 0.000]]}

=====

[4]
{"formula": "Pm5Dy5Tm", "functional": "PBE", "state": "optimized geometry", "total_energy_ev_per_atom": -4.315, "formation_energy_mev_per_atom": 342, "magmom_total_mub_per_cell": 0.00, "dos_ef_per_ev_cell": 18.1, "lattice_angstrom": [[6.117, 0.000, 0.000], [-3.058, 5.297, 0.000], [0.000, 0.000, 11.493]], "species": ["Pm", "Pm", "Pm", "Pm", "Pm", "Dy", "Dy", "Dy", "Dy", "Dy", "Tm"], "fractional_positions": [[0.000, 0.000, 0.238], [0.000, 0.000, 0.762], [0.340, 0.170, 0.000], [0.830, 0.170, 0.000], [0.830, 0.660, 0.000], [0.000, 0.000, 0.500], [0.333, 0.667, 0.184], [0.333, 0.667, 0.816], [0.667, 0.333, 0.343], [0.667, 0.333, 0.657], [0.333, 0.667, 0.500]]}

=====

[5]
{"formula": "FeCo2As", "functional": "PBE", "state": "optimized geometry", "total_energy_ev_per_atom": -6.732, "formation_energy_mev_per_atom": 99, "magmom_total_mub_per_cell": 5.22, "dos_ef_per_ev_cell": 3.8, "lattice_angstrom": [[2.938, 0.000, 0.000], [0.000, 2.938, 0.000], [0.000, 0.000, 5.649]], "species": ["Fe", "Co", "Co", "As"], "fractional_positions": [[0.000, 0.000, 0.000], [0.000, 0.000, 0.509], [0.500, 0.500, 0.762], [0.500, 0.500, 0.264]]}

=====

[6]
{"formula": "BaRhAu2", "functional": "PBE", "state": "optimized geometry", "total_energy_ev_per_atom": -3.884, "formation_energy_mev_per_atom": 73, "magmom_total_mub_per_cell": 0.00, "dos_ef_per_ev_cell": 14.7, "e_above_lowest_polymorph_ev_per_atom": 0.414, "lattice_angstrom": [[7.242, 0.000, 0.000], [0.000, 7.242, 0.000], [0.000, 0.000, 7.242]], "species": ["Ba", "Ba", "Ba", "Ba", "Rh", "Rh", "Rh", "Rh", "Au", "Au", "Au", "Au", "Au", "Au", "Au", "Au"], "fractional_positions": [[0.000, 0.000, 0.000], [0.000, 0.500, 0.500], [0.500, 0.000, 0.500], [0.500, 0.500, 0.000], [0.000, 0.000, 0.500], [0.000, 0.500, 0.000], [0.500, 0.000, 0.000], [0.500, 0.500, 0.500], [0.250, 0.250, 0.250], [0.250, 0.250, 0.750], [0.250, 0.750, 0.250], [0.250, 0.750, 0.750], [0.750, 0.250, 0.250], [0.750, 0.250, 0.750], [0.750, 0.750, 0.250], [0.750, 0.750, 0.750]]}

=====

[7]
{"formula": "Zn2OsSe", "functional": "PBE", "state": "optimized geometry", "total_energy_ev_per_atom": -3.871, "magmom_total_mub_per_cell": 0.00, "dos_ef_per_ev_cell": 4.9, "lattice_angstrom": [[3.965, 0.000, 0.000], [0.000, 3.965, 0.000], [0.000, 0.000, 7.842]], "species": ["Zn", "Zn", "Zn", "Zn", "Os", "Os", "Se", "Se"], "fractional_positions": [[0.000, 0.000, 0.000], [0.000, 0.500, 0.250], [0.500, 0.000, 0.750], [0.500, 0.500, 0.500], [0.000, 0.500, 0.750], [0.500, 0.000, 0.250], [0.000, 0.000, 0.500], [0.500, 0.500, 0.000]]}

=====

[8]
{"formula": "TlCo2Cl", "functional": "PBE", "state": "optimized geometry", "total_energy_ev_per_atom": -3.967, "magmom_total_mub_per_cell": 3.23, "dos_ef_per_ev_cell": 7.2, "e_above_lowest_polymorph_ev_per_atom": 0.404, "lattice_angstrom": [[3.075, 0.000, 0.000], [0.000, 3.075, 0.000], [0.000, 0.000, 6.719]], "species": ["Tl", "Co", "Co", "Cl"], "fractional_positions": [[0.000, 0.000, 0.000], [0.500, 0.500, 0.287], [0.500, 0.500, 0.713], [0.000, 0.000, 0.500]]}

=====

[9]
{"formula": "ScSiI2N", "functional": "PBE", "state": "optimized geometry", "total_energy_ev_per_atom": -4.367, "magmom_total_mub_per_cell": 0.00, "dos_ef_per_ev_cell": 5.4, "e_above_lowest_polymorph_ev_per_atom": 0.151, "lattice_angstrom": [[5.864, 0.000, 0.000], [0.000, 5.864, 0.000], [0.000, 0.000, 3.902]], "species": ["Sc", "Si", "I", "I", "N"], "fractional_positions": [[0.000, 0.000, 0.000], [0.500, 0.500, 0.500], [0.000, 0.500, 0.000], [0.500, 0.000, 0.000], [0.000, 0.000, 0.500]]}

=====

[10]
{"formula": "GaAs2Pb", "functional": "PBE", "state": "optimized geometry", "total_energy_ev_per_atom": -3.764, "formation_energy_mev_per_atom": 244, "magmom_total_mub_per_cell": 0.00, "dos_ef_per_ev_cell": 9.6, "e_above_lowest_polymorph_ev_per_atom": 0.290, "lattice_angstrom": [[7.141, 0.000, 0.000], [0.000, 7.141, 0.000], [0.000, 0.000, 7.141]], "species": ["Ga", "Ga", "Ga", "Ga", "As", "As", "As", "As", "As", "As", "As", "As", "Pb", "Pb", "Pb", "Pb"], "fractional_positions": [[0.000, 0.000, 0.000], [0.000, 0.500, 0.500], [0.500, 0.000, 0.500], [0.500, 0.500, 0.000], [0.250, 0.250, 0.250], [0.250, 0.250, 0.750], [0.250, 0.750, 0.250], [0.250, 0.750, 0.750], [0.750, 0.250, 0.250], [0.750, 0.250, 0.750], [0.750, 0.750, 0.250], [0.750, 0.750, 0.750], [0.000, 0.000, 0.500], [0.000, 0.500, 0.000], [0.500, 0.000, 0.000], [0.500, 0.500, 0.500]]}

=====

[11]
{"formula": "MgSbPb", "functional": "PBE", "state": "optimized geometry", "total_energy_ev_per_atom": -3.121, "magmom_total_mub_per_cell": 0.00, "dos_ef_per_ev_cell": 2.1, "lattice_angstrom": [[5.327, 0.000, 0.000], [-2.664, 4.614, 0.000], [0.000, 0.000, 3.375]], "species": ["Mg", "Sb", "Pb"], "fractional_positions": [[0.000, 0.000, 0.000], [0.333, 0.667, 0.004], [0.667, 0.333, 0.505]]}

=====

[12]
{"formula": "Li2TaPO8", "functional": "PBE", "state": "optimized geometry", "total_energy_ev_per_atom": -6.381, "magmom_total_mub_per_cell": 4.01, "dos_ef_per_ev_cell": 1.3, "lattice_angstrom": [[5.659, 0.000, 0.000], [-2.829, 4.900, 0.000], [0.000, 0.000, 5.086]], "species": ["Li", "Li", "Ta", "P", "O", "O", "O", "O", "O", "O", "O", "O"], "fractional_positions": [[0.333, 0.667, 0.121], [0.667, 0.333, 0.879], [0.000, 0.000, 0.500], [0.000, 0.000, 0.000], [0.141, 0.281, 0.210], [0.141, 0.859, 0.210], [0.281, 0.141, 0.790], [0.333, 0.667, 0.719], [0.667, 0.333, 0.281], [0.719, 0.859, 0.210], [0.859, 0.141, 0.790], [0.859, 0.719, 0.790]]}

=====

[13]
{"formula": "BaNaCd2Ni", "functional": "PBE", "state": "optimized geometry", "total_energy_ev_per_atom": -2.189, "formation_energy_mev_per_atom": -18, "magmom_total_mub_per_cell": 0.00, "dos_ef_per_ev_cell": 2.4, "e_above_lowest_polymorph_ev_per_atom": 0.007, "lattice_angstrom": [[5.232, 0.000, 0.000], [0.000, 5.232, 0.000], [0.000, 0.000, 5.585]], "species": ["Ba", "Na", "Cd", "Cd", "Ni"], "fractional_positions": [[0.000, 0.000, 0.000], [0.500, 0.500, 0.000], [0.000, 0.500, 0.500], [0.500, 0.000, 0.500], [0.000, 0.000, 0.500]]}

=====

[14]
{"formula": "CeSmTh2Sb5", "functional": "PBE", "state": "optimized geometry", "total_energy_ev_per_atom": -5.236, "magmom_total_mub_per_cell": 0.57, "dos_ef_per_ev_cell": 9.4, "lattice_angstrom": [[5.351, 0.000, 0.000], [0.000, 5.351, 0.000], [0.000, 0.000, 11.638]], "species": ["Ce", "Sm", "Th", "Th", "Sb", "Sb", "Sb", "Sb", "Sb"], "fractional_positions": [[0.000, 0.000, 0.000], [0.000, 0.000, 0.500], [0.500, 0.500, 0.311], [0.500, 0.500, 0.689], [0.000, 0.000, 0.248], [0.000, 0.000, 0.752], [0.000, 0.500, 0.500], [0.500, 0.000, 0.500], [0.500, 0.500, 0.000]]}